The following is a PBE-GGA calculation of an optimized crystal structure of H2OsI, from Alexandria.

Lattice parameters (Å, degrees): 5.697 5.697 5.697 90.00 90.00 90.00
Space group Fm-3m (No. 225)
Unique sites:
H 0.250 0.250 0.250 [8 per cell]
Os 0.000 0.000 0.000 [4 per cell]
I 0.000 0.000 0.500 [4 per cell]

calculated volume: 184.9 Å³ per cell
excess energy over the best structure of this formula in the dataset: 0.698 eV per atom
Fermi-level density of states: 2.59 states/eV/f.u.